1.
# PmNd2Rh9

Crystalline PmNd2Rh9 at its relaxed geometry (PBE-GGA, Alexandria via LeMat-Bulk).

Output
Space group: R-3m (166)

Structure (POSCAR):
```
PmNd2Rh9
1.0
2.660 1.536 8.874
-2.660 1.536 8.874
0.000 -3.072 8.874
Pm Nd Rh
1 2 9
direct
0.000 0.000 0.000
0.139 0.139 0.139
0.861 0.861 0.861
0.082 0.581 0.581
0.333 0.333 0.333
0.419 0.419 0.918
0.419 0.918 0.419
0.500 0.500 0.500
0.581 0.082 0.581
0.581 0.581 0.082
0.667 0.667 0.667
0.918 0.419 0.419
```


2.
# Pm3Nd4Rh4

Crystalline Pm3Nd4Rh4 at its relaxed geometry (PBE-GGA, Alexandria via LeMat-Bulk).

Output
Space group: Immm (71)

Structure (POSCAR):
```
Pm3Nd4Rh4
1.0
-1.930 4.521 8.202
1.930 -4.521 8.202
1.930 4.521 -8.202
Pm Nd Rh
3 4 4
direct
0.000 0.000 0.000
0.401 0.901 0.500
0.599 0.099 0.500
0.023 0.335 0.687
0.352 0.665 0.687
0.648 0.335 0.313
0.977 0.665 0.313
0.255 0.255 0.000
0.281 0.500 0.781
0.719 0.500 0.219
0.745 0.745 0.000
```


3.
# PmNdRh2

Crystalline PmNdRh2 at its relaxed geometry (PBE-GGA, Alexandria via LeMat-Bulk).

Output
Relative energy among the computed polymorphs: 0.033 eV per atom
Space group: Fm-3m (225)

Structure (POSCAR):
```
PmNdRh2
1.0
0.000 3.531 3.531
3.531 0.000 3.531
3.531 3.531 0.000
Pm Nd Rh
1 1 2
direct
0.000 0.000 0.000
0.500 0.500 0.500
0.250 0.250 0.250
0.750 0.750 0.750
```


4.
# PmNdRh

Crystalline PmNdRh at its relaxed geometry (PBE-GGA, Alexandria via LeMat-Bulk).

Output
Relative energy among the computed polymorphs: 0.082 eV per atom
Space group: Pnma (62)

Structure (POSCAR):
```
PmNdRh
1.0
6.034 0.000 0.000
0.000 4.212 0.000
0.000 0.000 14.575
Pm Nd Rh
4 4 4
direct
0.136 0.250 0.089
0.364 0.750 0.589
0.636 0.250 0.411
0.864 0.750 0.911
0.134 0.750 0.337
0.366 0.250 0.837
0.634 0.750 0.163
0.866 0.250 0.663
0.116 0.750 0.749
0.384 0.250 0.249
0.616 0.750 0.751
0.884 0.250 0.251
```


5.
# Pm4NdRh2

Crystalline Pm4NdRh2 at its relaxed geometry (PBE-GGA, Alexandria via LeMat-Bulk).

Output
Relative energy among the computed polymorphs: 0.009 eV per atom
Space group: P2_1/m (11)

Structure (POSCAR):
```
Pm4NdRh2
1.0
8.005 0.000 0.000
0.000 6.635 0.000
-3.199 0.000 7.384
Pm Nd Rh
8 2 4
direct
0.015 0.250 0.381
0.252 0.750 0.339
0.410 0.005 0.763
0.410 0.495 0.763
0.590 0.505 0.237
0.590 0.995 0.237
0.748 0.250 0.661
0.985 0.750 0.619
0.153 0.250 0.027
0.847 0.750 0.973
0.249 0.750 0.991
0.370 0.250 0.406
0.630 0.750 0.594
0.751 0.250 0.009
```


6.
# Pm4NdRh5

Crystalline Pm4NdRh5 at its relaxed geometry (PBE-GGA, Alexandria via LeMat-Bulk).

Output
Space group: P4/mmm (123)

Structure (POSCAR):
```
Pm4NdRh5
1.0
3.564 0.000 0.000
0.000 3.564 0.000
0.000 0.000 17.216
Pm Nd Rh
4 1 5
direct
0.000 0.000 0.100
0.000 0.000 0.299
0.000 0.000 0.701
0.000 0.000 0.900
0.000 0.000 0.500
0.500 0.500 0.000
0.500 0.500 0.199
0.500 0.500 0.398
0.500 0.500 0.602
0.500 0.500 0.801
```


7.
# Pm2NdRh

Crystalline Pm2NdRh at its relaxed geometry (PBE-GGA, Alexandria via LeMat-Bulk).

Output
Relative energy among the computed polymorphs: 0.141 eV per atom
Space group: R3m (160)

Structure (POSCAR):
```
Pm2NdRh
1.0
1.969 1.137 9.388
-1.969 1.137 9.388
0.000 -2.274 9.388
Pm Nd Rh
2 1 1
direct
0.000 0.000 0.000
0.216 0.216 0.216
0.442 0.442 0.442
0.608 0.608 0.608
```


8.
# Pm4Nd5Rh2

Crystalline Pm4Nd5Rh2 at its relaxed geometry (PBE-GGA, Alexandria via LeMat-Bulk).

Output
Space group: P2/m (10)

Structure (POSCAR):
```
Pm4Nd5Rh2
1.0
9.087 0.000 0.000
0.000 3.701 0.000
-0.520 0.000 10.277
Pm Nd Rh
4 5 2
direct
0.181 0.000 0.327
0.192 0.000 0.965
0.808 0.000 0.035
0.819 0.000 0.673
0.159 0.500 0.647
0.469 0.500 0.167
0.500 0.500 0.500
0.531 0.500 0.833
0.841 0.500 0.353
0.045 0.500 0.146
0.955 0.500 0.854
```


Number 1: total DFT energy (no corrections) -7.213 eV per atom, formation enthalpy at 0 K -508 meV per atom, calculated volume 18.13 Å³ per atom. Number 2: total DFT energy (no corrections) -6.184 eV per atom, formation enthalpy at 0 K -482 meV per atom, calculated volume 26.02 Å³ per atom. Number 3: total DFT energy (no corrections) -6.720 eV per atom, formation enthalpy at 0 K -665 meV per atom, calculated volume 22.00 Å³ per atom. Number 4: total DFT energy (no corrections) -6.020 eV per atom, formation enthalpy at 0 K -397 meV per atom, calculated volume 30.87 Å³ per atom. Number 5: total DFT energy (no corrections) -5.873 eV per atom, formation enthalpy at 0 K -377 meV per atom, calculated volume 28.01 Å³ per atom. Number 6: total DFT energy (no corrections) -6.721 eV per atom, formation enthalpy at 0 K -668 meV per atom, calculated volume 21.87 Å³ per atom. Number 7: total DFT energy (no corrections) -5.701 eV per atom, formation enthalpy at 0 K -296 meV per atom, calculated volume 31.54 Å³ per atom. Number 8: total DFT energy (no corrections) -5.427 eV per atom, formation enthalpy at 0 K -195 meV per atom, calculated volume 31.42 Å³ per atom.